<A>
Entry from Alexandria: AlSnP2 after structural relaxation (PBE-GGA).

Summary:
The volume is 24.64 A^3/atom.

Unit cell a=7.0344 b=7.0344 c=7.0344 alpha=130.41 beta=130.41 gamma=72.75
Positions (direct):
1 Al 0.0000 0.0000 0.0000
2 Al 0.7500 0.2500 0.5000
3 Sn 0.2500 0.7500 0.5000
4 Sn 0.5000 0.5000 0.0000
5 P 0.0819 0.6250 0.9569
6 P 0.3750 0.3319 0.4569
7 P 0.6681 0.1250 0.0431
8 P 0.8750 0.9181 0.5431

<B>
Entry from Alexandria: AlSnP2 after structural relaxation (PBE-GGA).

Summary:
The volume is 18.15 A^3/atom.

Unit cell a=4.6823 b=4.6823 c=4.6823 alpha=60.00 beta=60.00 gamma=60.00
Positions (direct):
1 Al 0.0000 0.0000 0.0000
2 Sn 0.5000 0.5000 0.5000
3 P 0.2500 0.2500 0.2500
4 P 0.7500 0.7500 0.7500

<C>
Entry from Alexandria: AlSnP2 after structural relaxation (PBE-GGA).

Summary:
The volume is 25.52 A^3/atom.

Unit cell a=7.5803 b=7.5803 c=7.5803 alpha=30.93 beta=30.93 gamma=30.93
Positions (direct):
1 Al 0.0000 0.0000 0.0000
2 Sn 0.5000 0.5000 0.5000
3 P 0.1035 0.1035 0.1035
4 P 0.8965 0.8965 0.8965

Order from most stable to least stable according to the calculation: <A>, <C>, <B>

<A>
Entry from Alexandria: AlSn3P after structural relaxation (PBE-GGA).

Summary:
The volume is 28.47 A^3/atom.

Unit cell a=5.2212 b=5.2212 c=5.2212 alpha=90.00 beta=90.00 gamma=90.00
Positions (direct):
1 Al 0.0000 0.0000 0.0000
2 Sn 0.0000 0.0000 0.5000
3 Sn 0.0000 0.5000 0.0000
4 Sn 0.5000 0.0000 0.0000
5 P 0.5000 0.5000 0.5000

<B>
Entry from Alexandria: AlSn3P after structural relaxation (PBE-GGA).

Summary:
The volume is 28.73 A^3/atom.

Unit cell a=5.2375 b=5.2375 c=5.2375 alpha=90.00 beta=90.00 gamma=90.00
Positions (direct):
1 Al 0.0000 0.0000 0.0000
2 Sn 0.0000 0.5000 0.5000
3 Sn 0.5000 0.0000 0.5000
4 Sn 0.5000 0.5000 0.0000
5 P 0.5000 0.5000 0.5000

Order from most stable to least stable according to the calculation: <B>, <A>

<A>
Entry from Alexandria: AlSnP after structural relaxation (PBE-GGA).

Summary:
The volume is 24.58 A^3/atom.

Unit cell a=3.7373 b=6.1122 c=7.2107 alpha=72.13 beta=76.08 gamma=72.51
Positions (direct):
1 Al 0.2072 0.1904 0.3880
2 Al 0.7928 0.8096 0.6120
3 Sn 0.1257 0.6368 0.1253
4 Sn 0.8743 0.3632 0.8747
5 P 0.1496 0.9809 0.7376
6 P 0.8504 0.0191 0.2624

<B>
Entry from Alexandria: AlSnP after structural relaxation (PBE-GGA).

Summary:
The volume is 21.16 A^3/atom.

Unit cell a=3.7512 b=3.7512 c=5.2086 alpha=90.00 beta=90.00 gamma=120.00
Positions (direct):
1 Al 0.0000 0.0000 0.0000
2 Sn 0.6667 0.3333 0.4127
3 P 0.3333 0.6667 0.7876

Order from most stable to least stable according to the calculation: <B>, <A>

<A>
Entry from Alexandria: SrAlP3 after structural relaxation (PBE-GGA).

Summary:
The volume is 21.78 A^3/atom.

Unit cell a=4.7751 b=4.7751 c=4.7751 alpha=90.00 beta=90.00 gamma=90.00
Positions (direct):
1 Sr 0.0000 0.0000 0.0000
2 Al 0.5000 0.5000 0.5000
3 P 0.0000 0.5000 0.5000
4 P 0.5000 0.0000 0.5000
5 P 0.5000 0.5000 0.0000

<B>
Entry from Alexandria: SrAlP3 after structural relaxation (PBE-GGA).

Summary:
The volume is 32.55 A^3/atom.

Unit cell a=5.4596 b=5.4596 c=5.4596 alpha=90.00 beta=90.00 gamma=90.00
Positions (direct):
1 Sr 0.0000 0.0000 0.0000
2 Al 0.5000 0.5000 0.5000
3 P 0.0000 0.0000 0.5000
4 P 0.0000 0.5000 0.0000
5 P 0.5000 0.0000 0.0000

Order from most stable to least stable according to the calculation: <A>, <B>